# 1
{"formula": "CdCoOs2", "functional": "PBE", "state": "optimized geometry", "e_form_mev_per_atom": 609, "n_ef_per_ev_cell": 4.8, "lattice": [[1.393, -2.326, 0.000], [1.393, 2.326, 0.000], [0.000, 0.000, 9.325]], "species": ["Cd", "Co", "Os", "Os"], "frac_coords": [[0.000, 0.000, 0.000], [0.000, 0.000, 0.500], [0.500, 0.500, 0.275], [0.500, 0.500, 0.725]]}

---

# 2
{"formula": "CaTaNi", "functional": "PBE", "state": "optimized geometry", "relative_energy_mev_per_atom": 229, "e_form_mev_per_atom": 416, "n_ef_per_ev_cell": 1.5, "lattice": [[4.092, 0.000, 0.000], [-2.046, 3.544, 0.000], [0.000, 0.000, 4.682]], "species": ["Ca", "Ta", "Ni"], "frac_coords": [[0.000, 0.000, 0.000], [0.667, 0.333, 0.500], [0.333, 0.667, 0.500]]}

---

# 3
{"formula": "SrY2Si", "functional": "PBE", "state": "optimized geometry", "e_tot_ev_per_atom": -4.872, "n_ef_per_ev_cell": 4.2, "lattice": [[3.389, -5.584, 0.000], [3.389, 5.584, 0.000], [-1.670, 0.000, 3.098]], "species": ["Sr", "Y", "Y", "Si"], "frac_coords": [[0.000, 0.000, 0.000], [0.000, 0.500, 0.500], [0.500, 0.000, 0.500], [0.500, 0.500, 0.000]]}

---

# 4
{"formula": "TiCu2Ge2", "functional": "PBE", "state": "optimized geometry", "e_form_mev_per_atom": -29, "n_ef_per_ev_cell": 5.1, "lattice": [[7.163, 0.000, 0.000], [0.000, 7.163, 0.000], [0.000, 0.000, 2.896]], "species": ["Ti", "Ti", "Cu", "Cu", "Cu", "Cu", "Ge", "Ge", "Ge", "Ge"], "frac_coords": [[0.000, 0.000, 0.000], [0.500, 0.500, 0.000], [0.120, 0.380, 0.000], [0.380, 0.880, 0.000], [0.620, 0.120, 0.000], [0.880, 0.620, 0.000], [0.181, 0.681, 0.500], [0.319, 0.181, 0.500], [0.681, 0.819, 0.500], [0.819, 0.319, 0.500]]}

---

# 5
{"formula": "YMnBe2", "functional": "PBE", "state": "optimized geometry", "relative_energy_mev_per_atom": 408, "e_form_mev_per_atom": 435, "n_ef_per_ev_cell": 3.5, "lattice": [[4.092, 0.000, 0.000], [0.000, 4.092, 0.000], [0.000, 0.000, 3.783]], "species": ["Y", "Mn", "Be", "Be"], "frac_coords": [[0.000, 0.000, 0.000], [0.500, 0.500, 0.000], [0.000, 0.500, 0.500], [0.500, 0.000, 0.500]]}

---

# 6
{"formula": "La2BeAg", "functional": "PBE", "state": "optimized geometry", "e_form_mev_per_atom": 132, "n_ef_per_ev_cell": 4.6, "lattice": [[3.344, 0.000, 0.000], [0.000, 3.344, 0.000], [0.000, 0.000, 8.683]], "species": ["La", "La", "Be", "Ag"], "frac_coords": [[0.000, 0.000, 0.000], [0.500, 0.500, 0.364], [0.500, 0.500, 0.750], [0.000, 0.000, 0.634]]}

---

Q: Number 4 is which compound?
A: TiCu2Ge2